Entry 1:
! ZrTeAu2, optimized geometry, DFT PBE-GGA; values from VASP
! E_form (uncorrected) in eV/atom: -0.245
! Calculated total energy in eV per atom: -4.81
! Total magnetization in μB/f.u.: 0.000
&SYSTEM
  ibrav = 0, nat = 4, ntyp = 3
/
ATOMIC_SPECIES
Au 196.97 Au.upf
Te 127.60 Te.upf
Zr 91.22 Zr.upf
CELL_PARAMETERS angstrom
5.7205 0.0193 -0.0046
2.6461 5.0717 0.0046
-3.8492 -3.0946 2.8864
ATOMIC_POSITIONS angstrom
Au 8.3407 5.0753 0.0000
Au 4.2092 2.5613 0.0000
Te 3.0273 -0.2648 1.4409
Zr 1.4901 2.2613 1.4455


Entry 2:
! ZrTeAu2, optimized geometry, DFT PBE-GGA; values from VASP
! E_form (uncorrected) in eV/atom: -0.225
! Calculated total energy in eV per atom: -4.79
! Total magnetization in μB/f.u.: 0.000
&SYSTEM
  ibrav = 0, nat = 4, ntyp = 3
/
ATOMIC_SPECIES
Au 196.97 Au.upf
Te 127.60 Te.upf
Zr 91.22 Zr.upf
CELL_PARAMETERS angstrom
5.8492 0.1210 0.0876
2.6811 5.2000 -0.0876
-4.0072 -3.0740 2.9544
ATOMIC_POSITIONS angstrom
Au 0.2003 0.1249 0.0000
Au 3.2828 -0.0033 1.5210
Te 3.9661 2.4740 0.0000
Zr 1.3391 2.3119 1.4334


Entry 3:
! ZrTe2Au, optimized geometry, DFT PBE-GGA; values from VASP
! Energy relative to the lowest polymorph listed for this composition in eV per atom: 0.507
! E_form (uncorrected) in eV/atom: -0.094
! Calculated total energy in eV per atom: -4.62
! Total magnetization in μB/f.u.: 0.000
&SYSTEM
  ibrav = 0, nat = 4, ntyp = 3
/
ATOMIC_SPECIES
Au 196.97 Au.upf
Te 127.60 Te.upf
Zr 91.22 Zr.upf
CELL_PARAMETERS angstrom
5.7280 0.0101 0.0249
-2.5651 4.9642 -0.0200
0.5977 1.3900 3.4395
ATOMIC_POSITIONS angstrom
Au 1.5814 2.4871 0.0024
Te 0.0000 0.0000 0.0000
Te 3.1629 0.7000 1.7322
Zr -0.9837 3.1771 1.7097


Entry 4:
! ZrTeAu2, optimized geometry, DFT PBE-GGA; values from VASP
! E_form (uncorrected) in eV/atom: -0.224
! Calculated total energy in eV per atom: -4.79
! Total magnetization in μB/f.u.: 0.000
&SYSTEM
  ibrav = 0, nat = 4, ntyp = 3
/
ATOMIC_SPECIES
Au 196.97 Au.upf
Te 127.60 Te.upf
Zr 91.22 Zr.upf
CELL_PARAMETERS angstrom
6.4745 -0.0633 -0.0394
5.1015 3.9871 -0.0394
5.1015 1.7292 3.5928
ATOMIC_POSITIONS angstrom
Au 0.1020 0.0346 0.0215
Au 8.2368 2.7919 1.7355
Te 4.1694 1.4132 0.8785
Zr 12.5082 4.2397 2.6356


Entry 5:
! ZrTeAu3, optimized geometry, DFT PBE-GGA; values from VASP
! Energy relative to the lowest polymorph listed for this composition in eV per atom: 0.000
! E_form (uncorrected) in eV/atom: 0.716
! Calculated total energy in eV per atom: -3.59
! Total magnetization in μB/f.u.: 0.002
&SYSTEM
  ibrav = 0, nat = 5, ntyp = 3
/
ATOMIC_SPECIES
Te 127.60 Te.upf
Au 196.97 Au.upf
Zr 91.22 Zr.upf
CELL_PARAMETERS angstrom
-0.1681 1.9254 4.8801
-3.5235 -3.6590 1.3222
3.8869 -3.2336 1.4096
ATOMIC_POSITIONS angstrom
Te 0.0977 -2.4836 3.8060
Au -1.7617 -1.8295 0.6611
Au 1.9435 -1.6168 0.7048
Au -0.0840 0.9627 2.4401
Zr 0.0000 0.0000 0.0000


Entry 6:
! ZrTe2Au2, optimized geometry, DFT PBE-GGA; values from VASP
! Energy relative to the lowest polymorph listed for this composition in eV per atom: 0.000
! E_form (uncorrected) in eV/atom: -0.219
! Calculated total energy in eV per atom: -4.50
! Total magnetization in μB/f.u.: 0.000
&SYSTEM
  ibrav = 0, nat = 5, ntyp = 3
/
ATOMIC_SPECIES
Te 127.60 Te.upf
Au 196.97 Au.upf
Zr 91.22 Zr.upf
CELL_PARAMETERS angstrom
3.7782 0.0000 0.0000
0.0000 3.7782 0.0000
1.8891 1.8891 8.6010
ATOMIC_POSITIONS angstrom
Te 1.8891 1.8891 1.5941
Te 3.7782 3.7782 7.0069
Au 3.7782 1.8891 4.3005
Au 1.8891 3.7782 4.3005
Zr 0.0000 0.0000 0.0000


Q: Which formula does entry 3 have?
A: ZrTe2Au


Q: Which of these has the lowest E_form (uncorrected)?
A: number 1


Q: Which of these has the highest E_form (uncorrected)?
A: ZrTeAu3


Q: Among the records above, which one has the lowest calculated total energy?
A: number 1